#a
The following is a PBE calculation of an optimized crystal structure of HPtSeN2, from Alexandria.

Its volume is 80 Å³/cell. The size of the total moment comes out at 0.000 μB/atom. As for the crystal system: tetragonal.

The space group is P4/mmm (No. 123) and the conventional cell measures 3.727, 3.727 and 5.747 Å, with angles of 90.00, 90.00 and 90.00 degrees. The distinct sites, in fractional coordinates, are H at (0.000, 0.000, 0.000), Pt at (0.500, 0.500, 0.500), Se at (0.500, 0.500, 0.000) and N at (0.000, 0.500, 0.500).


#b
The following is a PBE calculation of an optimized crystal structure of HPtSeN2, from Alexandria.

Its volume is 51 Å³/cell. The size of the total moment comes out at 0.000 μB/atom. As for the crystal system: tetragonal.

The space group is P4/mmm (No. 123) and the conventional cell measures 3.945, 3.945 and 3.268 Å, with angles of 90.00, 90.00 and 90.00 degrees. The distinct sites, in fractional coordinates, are H at (0.000, 0.000, 0.000), Pt at (0.500, 0.500, 0.500), Se at (0.000, 0.000, 0.500) and N at (0.000, 0.500, 0.000).


Bottom line: #a, by a margin of 404 meV per atom.